Entry 1:
The following is a PBE-GGA calculation of a relaxed RuAu3I crystal, from Alexandria via LeMat-Bulk.

```
5
Lattice="5.215 0.000 0.000 0.000 5.215 0.000 0.000 0.000 5.215" Properties=species:S:1:pos:R:3 pbc="T T T"
I 0.000 0.000 0.000
Ru 2.608 2.608 2.608
Au 0.000 2.608 0.000
Au 0.000 0.000 2.608
Au 2.608 0.000 0.000
```

symmetry	Pm-3m (221)
energy above the most stable polymorph in this dataset	0.751	eV/atom
ΔE_f (raw)	9.0	eV/f.u.
density of states at the Fermi level	11.9	states/eV/f.u.

---

Entry 2:
The following is a PBE-GGA calculation of a relaxed SbRuAuI2 crystal, from Alexandria via LeMat-Bulk.

```
5
Lattice="-5.471 -0.213 -0.007 0.181 -4.745 2.725 -0.102 2.484 4.332" Properties=species:S:1:pos:R:3 pbc="T T T"
I 0.090 -2.373 1.362
I -2.735 -0.106 -0.003
Sb -0.051 1.242 2.166
Au -2.696 -1.237 3.525
Ru 0.000 0.000 0.000
```

symmetry	P4/mmm (123)
energy above the most stable polymorph in this dataset	0.000	eV/atom
ΔE_f (raw)	3.2	eV/f.u.
density of states at the Fermi level	5.3	states/eV/f.u.

---

Entry 3:
The following is a PBE-GGA calculation of a relaxed SbRuAuI2 crystal, from Alexandria via LeMat-Bulk.

```
5
Lattice="5.589 0.000 0.000 0.000 5.589 0.000 0.000 0.000 5.438" Properties=species:S:1:pos:R:3 pbc="T T T"
I 0.000 2.794 0.000
I 2.794 0.000 0.000
Sb 0.000 0.000 2.719
Au 0.000 0.000 0.000
Ru 2.794 2.794 2.719
```

symmetry	P4/mmm (123)
energy above the most stable polymorph in this dataset	0.622	eV/atom
ΔE_f (raw)	6.3	eV/f.u.
density of states at the Fermi level	7.2	states/eV/f.u.

---

Entry 4:
The following is a PBE-GGA calculation of a relaxed SbRuAuI2 crystal, from Alexandria via LeMat-Bulk.

```
5
Lattice="5.207 0.000 0.000 0.000 5.275 0.000 0.000 0.000 5.207" Properties=species:S:1:pos:R:3 pbc="T T T"
I 0.000 0.000 2.603
I 2.603 0.000 0.000
Sb 2.603 2.638 2.603
Au 0.000 2.638 0.000
Ru 0.000 0.000 0.000
```

symmetry	P4/mmm (123)
energy above the most stable polymorph in this dataset	0.140	eV/atom
ΔE_f (raw)	3.9	eV/f.u.
density of states at the Fermi level	6.4	states/eV/f.u.

---

Entry 5:
The following is a PBE-GGA calculation of a relaxed RuWAuI2 crystal, from Alexandria via LeMat-Bulk.

```
5
Lattice="5.226 0.000 0.000 0.000 5.162 0.000 0.000 0.000 5.226" Properties=species:S:1:pos:R:3 pbc="T T T"
I 0.000 0.000 2.613
I 2.613 0.000 0.000
Ru 0.000 0.000 0.000
Au 0.000 2.581 0.000
W 2.613 2.581 2.613
```

symmetry	P4/mmm (123)
ΔE_f (raw)	8.6	eV/f.u.
density of states at the Fermi level	5.8	states/eV/f.u.

---

Entry 6:
The following is a PBE-GGA calculation of a relaxed ZnRu2AuI crystal, from Alexandria via LeMat-Bulk.

```
5
Lattice="5.108 0.000 0.000 0.000 4.797 0.000 0.000 0.000 5.108" Properties=species:S:1:pos:R:3 pbc="T T T"
I 2.554 2.398 2.554
Ru 0.000 0.000 2.554
Ru 2.554 0.000 0.000
Zn 0.000 2.398 0.000
Au 0.000 0.000 0.000
```

symmetry	P4/mmm (123)
ΔE_f (raw)	7.0	eV/f.u.
density of states at the Fermi level	5.5	states/eV/f.u.

---

Entry 7:
The following is a PBE-GGA calculation of a relaxed AuSI crystal, from Alexandria via LeMat-Bulk.

```
6
Lattice="5.086 -0.296 -0.462 -0.195 7.010 0.412 -0.930 2.742 6.247" Properties=species:S:1:pos:R:3 pbc="T T T"
Au 0.986 4.146 1.717
Au 2.975 5.311 4.480
I 4.878 1.520 0.540
I -0.918 7.936 5.656
S 1.890 3.379 3.732
S 2.070 6.077 2.465
```

symmetry	P-1 (2)
ΔE_f (raw)	0.2	eV/f.u.

---

Entry 8:
The following is a PBE-GGA calculation of a relaxed AuSI3 crystal, from Alexandria via LeMat-Bulk.

```
5
Lattice="-3.278 -3.382 -3.131 3.860 -4.113 0.402 -2.517 -1.904 4.692" Properties=species:S:1:pos:R:3 pbc="T T T"
I 1.930 -2.057 0.201
I -1.259 -0.952 2.346
I -1.639 -1.691 -1.565
S -0.968 -4.700 0.982
Au 0.000 0.000 0.000
```

symmetry	Pm-3m (221)
energy above the most stable polymorph in this dataset	0.568	eV/atom
ΔE_f (raw)	3.1	eV/f.u.
density of states at the Fermi level	6.3	states/eV/f.u.

---

Entry 9:
The following is a PBE-GGA calculation of a relaxed AuS2I crystal, from Alexandria via LeMat-Bulk.

```
8
Lattice="-2.999 -0.042 -3.573 1.416 -7.732 -1.097 -5.995 1.375 5.016" Properties=species:S:1:pos:R:3 pbc="T T T"
Au -1.276 -1.771 1.092
Au -4.803 -4.607 1.041
S -0.664 -1.587 -1.227
S -3.974 -6.561 2.171
S -7.191 -4.817 1.243
S -3.328 0.166 -1.497
I -5.456 -2.083 0.036
I -2.122 -4.316 0.310
```

symmetry	C222_1 (20)
ΔE_f (raw)	0.0	eV/f.u.

---

Entry 10:
The following is a PBE-GGA calculation of a relaxed AuSI2 crystal, from Alexandria via LeMat-Bulk.

```
4
Lattice="0.000 3.675 3.675 3.675 0.000 3.675 3.675 3.675 0.000" Properties=species:S:1:pos:R:3 pbc="T T T"
I 1.838 1.838 1.838
I 5.513 5.513 5.513
S 0.000 0.000 0.000
Au 3.675 3.675 3.675
```

symmetry	Fm-3m (225)
energy above the most stable polymorph in this dataset	0.262	eV/atom
ΔE_f (raw)	3.1	eV/f.u.
density of states at the Fermi level	6.7	states/eV/f.u.

---

Entry 11:
The following is a PBE-GGA calculation of a relaxed AuSI crystal, from Alexandria via LeMat-Bulk.

```
6
Lattice="4.401 -0.173 0.173 -0.931 5.458 3.751 -0.913 -0.196 7.983" Properties=species:S:1:pos:R:3 pbc="T T T"
Au 0.908 3.363 3.888
Au 1.649 1.726 8.019
S 1.783 5.110 11.291
S 0.773 -0.021 0.616
I -0.357 3.531 8.008
I 2.914 1.558 3.900
```

symmetry	P-1 (2)
ΔE_f (raw)	0.1	eV/f.u.
density of states at the Fermi level	0.6	states/eV/f.u.

---

Entry 12:
The following is a PBE-GGA calculation of a relaxed AuS2I crystal, from Alexandria via LeMat-Bulk.

```
4
Lattice="2.290 0.000 7.660 -1.145 1.983 7.660 -1.145 -1.983 7.660" Properties=species:S:1:pos:R:3 pbc="T T T"
I 0.000 0.000 0.000
S 0.000 0.000 20.354
S 0.000 0.000 2.625
Au 0.000 0.000 11.489
```

symmetry	R-3m (166)
ΔE_f (raw)	0.8	eV/f.u.
density of states at the Fermi level	2.2	states/eV/f.u.

---

Entry 13:
The following is a PBE-GGA calculation of a relaxed AuSI3 crystal, from Alexandria via LeMat-Bulk.

```
5
Lattice="5.510 0.000 0.000 0.000 5.510 0.000 0.000 0.000 5.510" Properties=species:S:1:pos:R:3 pbc="T T T"
I 0.000 2.755 0.000
I 0.000 0.000 2.755
I 2.755 0.000 0.000
S 0.000 0.000 0.000
Au 2.755 2.755 2.755
```

symmetry	Pm-3m (221)
energy above the most stable polymorph in this dataset	0.542	eV/atom
ΔE_f (raw)	3.0	eV/f.u.
density of states at the Fermi level	1.7	states/eV/f.u.

---

Entry 14:
The following is a PBE-GGA calculation of a relaxed AuS2I crystal, from Alexandria via LeMat-Bulk.

```
4
Lattice="-3.481 -3.394 -0.121 -4.488 1.063 1.546 -3.648 0.371 -3.195" Properties=species:S:1:pos:R:3 pbc="T T T"
I 0.000 0.000 0.000
S -2.904 -0.490 -0.443
S -8.713 -1.470 -1.328
Au -5.809 -0.980 -0.885
```

symmetry	Fm-3m (225)
ΔE_f (raw)	3.7	eV/f.u.
density of states at the Fermi level	2.1	states/eV/f.u.